# 1
Entry from Alexandria: a relaxed structure of Cd2MoW (PBE).

Results
DFT formation energy   0.427 eV/atom
Energy above the most stable polymorph in this dataset   0.1359 eV/atom
Total magnetization   0.000 μB per formula unit
Density of states at the Fermi level   2.62 states/eV/f.u.
VASP energy   -23.90 eV/f.u.

Cell: 2.8696 2.8696 30.8350 Å, 90.00 90.00 120.00°
Space group R3m (No. 160, hexagonal axes)
Symmetry-distinct sites (fractional):
Cd  0.0000  0.0000  0.0000
Cd  0.0000  0.0000  0.2415
Mo  0.0000  0.0000  0.4921
W  0.0000  0.0000  0.7500

***

# 2
Entry from Alexandria: a relaxed structure of NaHfSb2Te (PBE).

Results
Energy above the most stable polymorph in this dataset   0.0000 eV/atom
Total magnetization   0.000 μB per formula unit
Density of states at the Fermi level   4.17 states/eV/f.u.
Formation energy from raw total energies   -144 meV/atom
VASP energy   -23.38 eV/f.u.

Cell: 5.5618 5.5618 5.6347 Å, 90.00 90.00 90.00°
Space group P4/mmm (No. 123)
Symmetry-distinct sites (fractional):
Na  0.0000  0.0000  0.0000
Hf  0.5000  0.5000  0.5000
Sb  0.0000  0.5000  0.5000
Te  0.5000  0.5000  0.0000

***

Copy entry 1 word for word.
Entry from Alexandria: a relaxed structure of Cd2MoW (PBE).

Results
DFT formation energy   0.427 eV/atom
Energy above the most stable polymorph in this dataset   0.1359 eV/atom
Total magnetization   0.000 μB per formula unit
Density of states at the Fermi level   2.62 states/eV/f.u.
VASP energy   -23.90 eV/f.u.

Cell: 2.8696 2.8696 30.8350 Å, 90.00 90.00 120.00°
Space group R3m (No. 160, hexagonal axes)
Symmetry-distinct sites (fractional):
Cd  0.0000  0.0000  0.0000
Cd  0.0000  0.0000  0.2415
Mo  0.0000  0.0000  0.4921
W  0.0000  0.0000  0.7500

***

- What is the VASP energy in the first record?
  -23.90 eV/f.u.

***

- The highest density of states at the Fermi level belongs to which entry?
  NaHfSb2Te

***

- What is the formula in the second record?
  NaHfSb2Te